Record 1
{"formula": "LaSnAu5", "functional": "PBE", "state": "relaxed", "ef_mev_per_atom": -459.0, "volume_a3_per_cell": 604, "magmom_total_mub_per_fu": 0.0, "space_group": "Pnma (62)", "total_energy_ev_per_cell": -114.12, "lattice": [[-0.079, -0.398, -5.725], [-4.844, -7.873, 0.615], [-9.675, 5.931, -0.279]], "species": ["Au", "Au", "Au", "Au", "Au", "Au", "Au", "Au", "Au", "Au", "Au", "Au", "Au", "Au", "Au", "Au", "Au", "Au", "Au", "Au", "Sn", "Sn", "Sn", "Sn", "La", "La", "La", "La"], "fractional_positions": [[0.507, 0.929, 0.300], [0.750, 0.826, 0.772], [0.250, 0.589, 0.021], [0.007, 0.571, 0.800], [0.750, 0.076, 0.925], [0.250, 0.174, 0.228], [0.007, 0.071, 0.700], [0.507, 0.429, 0.200], [0.250, 0.674, 0.272], [0.250, 0.089, 0.479], [0.250, 0.924, 0.075], [0.993, 0.429, 0.200], [0.250, 0.424, 0.425], [0.993, 0.929, 0.300], [0.750, 0.911, 0.521], [0.493, 0.571, 0.800], [0.750, 0.411, 0.979], [0.493, 0.071, 0.700], [0.750, 0.576, 0.575], [0.750, 0.326, 0.728], [0.750, 0.649, 0.347], [0.250, 0.351, 0.653], [0.750, 0.149, 0.153], [0.250, 0.851, 0.847], [0.750, 0.249, 0.445], [0.250, 0.251, 0.945], [0.750, 0.749, 0.055], [0.250, 0.751, 0.555]]}



Record 2
{"formula": "KBaHg17", "functional": "PBE", "state": "relaxed", "ef_mev_per_atom": -154.2, "volume_a3_per_cell": 550, "magmom_total_mub_per_fu": 0.0, "space_group": "R3m (160)", "total_energy_ev_per_cell": -11.08, "lattice": [[-2.530, 4.705, 6.461], [4.989, -2.542, 6.239], [5.818, 6.027, 0.324]], "species": ["Hg", "Hg", "Hg", "Hg", "Hg", "Hg", "Hg", "Hg", "Hg", "Hg", "Hg", "Hg", "Hg", "Hg", "Hg", "Hg", "Hg", "K", "Ba"], "fractional_positions": [[0.391, 0.391, 0.786], [0.699, 0.999, 0.301], [0.786, 0.391, 0.391], [0.301, 0.999, 0.699], [0.055, 0.434, 0.055], [0.999, 0.301, 0.699], [0.999, 0.699, 0.301], [0.055, 0.055, 0.434], [0.060, 0.060, 0.060], [0.391, 0.786, 0.391], [0.653, 0.653, 0.107], [0.884, 0.884, 0.884], [0.653, 0.107, 0.653], [0.699, 0.301, 0.999], [0.107, 0.653, 0.653], [0.434, 0.055, 0.055], [0.301, 0.699, 0.999], [0.355, 0.355, 0.355], [0.676, 0.676, 0.676]]}



Record 3
{"formula": "Co2TcRh2", "functional": "PBE", "state": "relaxed", "polymorph_energy_ev_per_atom": 0.234, "ef_mev_per_atom": 449.1, "volume_a3_per_cell": 70, "magmom_total_mub_per_fu": 3.6, "space_group": "I4/mmm (139)", "total_energy_ev_per_cell": -37.04, "lattice": [[3.278, 0.000, 0.000], [0.000, 3.278, 0.000], [1.639, 1.639, 6.513]], "species": ["Rh", "Rh", "Tc", "Co", "Co"], "fractional_positions": [[0.602, 0.602, 0.797], [0.398, 0.398, 0.203], [0.000, 0.000, 0.000], [0.750, 0.250, 0.500], [0.250, 0.750, 0.500]]}



Record 4
{"formula": "CaTl2PtAu", "functional": "PBE", "state": "relaxed", "ef_mev_per_atom": 178.6, "volume_a3_per_cell": 149, "magmom_total_mub_per_fu": 0.0, "space_group": "P4/mmm (123)", "total_energy_ev_per_cell": -15.16, "lattice": [[-1.124, -2.657, 4.452], [0.972, -4.578, -2.487], [5.092, 0.289, 1.458]], "species": ["Ca", "Pt", "Tl", "Tl", "Au"], "fractional_positions": [[0.500, 0.500, 0.500], [0.000, 0.500, 0.000], [0.500, 0.000, 0.000], [0.000, 0.000, 0.500], [0.000, 0.000, 0.000]]}



Record 5
{"formula": "Th3In", "functional": "PBE", "state": "relaxed", "ef_mev_per_atom": -96.6, "volume_a3_per_cell": 122, "magmom_total_mub_per_fu": 0.0, "space_group": "Pmm2 (25)", "total_energy_ev_per_cell": -25.38, "lattice": [[3.506, 0.000, 0.000], [0.000, 5.711, 0.000], [0.000, 0.000, 6.070]], "species": ["Th", "Th", "Th", "In"], "fractional_positions": [[0.500, 0.000, 0.477], [0.500, 0.500, 0.855], [0.000, 0.000, 0.991], [0.000, 0.500, 0.345]]}



Record 6
{"formula": "Cd2CoOs", "functional": "PBE", "state": "relaxed", "polymorph_energy_ev_per_atom": 0.264, "ef_mev_per_atom": 538.0, "volume_a3_per_cell": 65, "magmom_total_mub_per_fu": 1.9, "space_group": "R-3m (166)", "total_energy_ev_per_cell": -18.01, "lattice": [[9.449, 0.028, 0.016], [9.015, 2.831, 0.016], [9.015, 1.396, 2.463]], "species": ["Cd", "Cd", "Co", "Os"], "fractional_positions": [[0.503, 0.503, 0.503], [0.997, 0.997, 0.997], [0.250, 0.250, 0.250], [0.750, 0.750, 0.750]]}



Record 7
{"formula": "Li2ZrTa", "functional": "PBE", "state": "relaxed", "polymorph_energy_ev_per_atom": 0.130, "ef_mev_per_atom": 338.5, "volume_a3_per_cell": 77, "magmom_total_mub_per_fu": 0.0, "space_group": "P2/m (10)", "total_energy_ev_per_cell": -22.87, "lattice": [[5.396, 0.000, 0.000], [0.000, 2.803, -0.097], [0.000, 0.486, 5.069]], "species": ["Li", "Li", "Zr", "Ta"], "fractional_positions": [[0.000, 0.992, 0.014], [0.000, 0.508, 0.486], [0.500, 0.750, 0.750], [0.500, 0.250, 0.250]]}



Record 8
{"formula": "Ce5SmTh4", "functional": "PBE", "state": "relaxed", "ef_mev_per_atom": 28.4, "volume_a3_per_cell": 298, "magmom_total_mub_per_fu": 0.0, "space_group": "P4/mmm (123)", "total_energy_ev_per_cell": -63.78, "lattice": [[3.487, 0.000, 0.000], [0.000, 3.487, 0.000], [0.000, 0.000, 24.536]], "species": ["Ce", "Ce", "Ce", "Ce", "Ce", "Sm", "Th", "Th", "Th", "Th"], "fractional_positions": [[0.500, 0.500, 0.500], [0.500, 0.500, 0.302], [0.500, 0.500, 0.894], [0.500, 0.500, 0.698], [0.500, 0.500, 0.106], [0.000, 0.000, 0.000], [0.000, 0.000, 0.203], [0.000, 0.000, 0.401], [0.000, 0.000, 0.599], [0.000, 0.000, 0.797]]}



Record 9
{"formula": "BaZn4Cd4", "functional": "PBE", "state": "relaxed", "ef_mev_per_atom": -46.6, "volume_a3_per_cell": 442, "magmom_total_mub_per_fu": 0.0, "space_group": "P4_2/n (86)", "total_energy_ev_per_cell": -22.20, "lattice": [[5.099, 0.000, 0.000], [0.000, 9.308, 0.000], [0.000, 0.000, 9.308]], "species": ["Ba", "Ba", "Cd", "Cd", "Cd", "Cd", "Cd", "Cd", "Cd", "Cd", "Zn", "Zn", "Zn", "Zn", "Zn", "Zn", "Zn", "Zn"], "fractional_positions": [[0.500, 0.500, 0.500], [0.000, 0.000, 0.000], [0.929, 0.384, 0.112], [0.929, 0.616, 0.888], [0.071, 0.888, 0.384], [0.429, 0.388, 0.884], [0.571, 0.884, 0.612], [0.071, 0.112, 0.616], [0.429, 0.612, 0.116], [0.571, 0.116, 0.388], [0.566, 0.160, 0.719], [0.066, 0.781, 0.660], [0.434, 0.719, 0.840], [0.566, 0.840, 0.281], [0.434, 0.281, 0.160], [0.934, 0.340, 0.781], [0.934, 0.660, 0.219], [0.066, 0.219, 0.340]]}



Record 10
{"formula": "HfCd2GaO", "functional": "PBE", "state": "relaxed", "e_form_raw_ev_per_atom": -0.441, "volume_a3_per_cell": 97, "magmom_total_mub_per_fu": 0.0, "space_group": "P4/mmm (123)", "total_energy_ev_per_cell": -21.97, "lattice": [[4.831, 0.000, 0.000], [0.000, 4.151, 0.000], [0.000, 0.000, 4.831]], "species": ["Ga", "Cd", "Cd", "Hf", "O"], "fractional_positions": [[0.500, 0.500, 0.500], [0.000, 0.000, 0.500], [0.500, 0.000, 0.000], [0.000, 0.500, 0.000], [0.000, 0.000, 0.000]]}



Record 11
{"formula": "NaCe4Pr3Te8", "functional": "PBE", "state": "relaxed", "e_form_raw_ev_per_atom": -1.375, "volume_a3_per_cell": 522, "magmom_total_mub_per_fu": 5.2, "space_group": "R-3m (166)", "total_energy_ev_per_cell": -86.52, "lattice": [[-8.745, -1.859, 1.114], [2.136, -8.321, 2.887], [3.622, 7.203, 4.022]], "species": ["Ce", "Ce", "Ce", "Ce", "Te", "Te", "Te", "Te", "Te", "Te", "Te", "Te", "Na", "Pr", "Pr", "Pr"], "fractional_positions": [[0.500, 0.000, 0.000], [0.000, 0.000, 0.000], [0.000, 0.000, 0.500], [0.500, 0.000, 0.500], [0.246, 0.250, 0.998], [0.754, 0.750, 0.002], [0.248, 0.750, 0.496], [0.752, 0.250, 0.504], [0.248, 0.750, 0.002], [0.751, 0.753, 0.502], [0.752, 0.250, 0.998], [0.249, 0.247, 0.498], [0.000, 0.500, 0.000], [0.500, 0.500, 0.500], [0.500, 0.500, 0.000], [0.000, 0.500, 0.500]]}



Record 12
{"formula": "Y2ZrIn", "functional": "PBE", "state": "relaxed", "polymorph_energy_ev_per_atom": 0.079, "ef_mev_per_atom": -118.3, "volume_a3_per_cell": 107, "magmom_total_mub_per_fu": 0.0, "space_group": "Pmm2 (25)", "total_energy_ev_per_cell": -24.69, "lattice": [[3.501, 0.000, 0.000], [0.000, 4.552, 0.000], [0.000, 0.000, 6.736]], "species": ["Y", "Y", "Zr", "In"], "fractional_positions": [[0.000, 0.000, 0.990], [0.500, 0.500, 0.267], [0.000, 0.000, 0.502], [0.500, 0.500, 0.741]]}



> Number 1 is which compound?

LaSnAu5